HfZr2NiAs4Pd3 | PBE-GGA | relaxed

```
HfZr2NiAs4Pd3
1.0
6.600 0.000 0.000
0.000 3.917 0.000
-0.004 0.000 7.655
As Hf Ni Pd Zr
4 1 1 3 2
direct
0.244 0.000 0.117
0.750 0.000 0.362
0.249 0.500 0.631
0.768 0.500 0.889
0.968 0.500 0.183
0.638 0.000 0.059
0.148 0.000 0.443
0.854 0.500 0.568
0.375 0.500 0.942
0.463 0.500 0.312
0.539 0.000 0.690
```

Results
* SG: Pm

---

UAlTl | PBE-GGA | relaxed

```
UAlTl
1.0
0.000 3.529 3.529
3.529 0.000 3.529
3.529 3.529 0.000
Al Tl U
1 1 1
direct
0.250 0.250 0.250
0.750 0.750 0.750
0.000 0.000 0.000
```

Results
* SG: F-43m

---

La3AuO6 | PBE-GGA | relaxed

```
La3AuO6
1.0
4.763 -5.804 0.000
4.763 5.804 0.000
0.000 0.000 5.749
Au La O
2 6 12
direct
0.131 0.869 0.453
0.869 0.131 0.953
0.606 0.394 0.410
0.092 0.330 0.457
0.670 0.908 0.457
0.394 0.606 0.910
0.330 0.092 0.957
0.908 0.670 0.957
0.223 0.777 0.158
0.599 0.105 0.161
0.895 0.401 0.161
0.332 0.356 0.188
0.644 0.668 0.188
0.972 0.028 0.255
0.777 0.223 0.658
0.105 0.599 0.661
0.401 0.895 0.661
0.356 0.332 0.688
0.668 0.644 0.688
0.028 0.972 0.755
```

Results
* SG: Cmc2_1

---

no.,total DFT energy (no corrections) (eV/cell),total moment (μB per cell)
1,-75.73,0.00
2,-14.97,2.71
3,-146.21,0.00